No. 1
! RbCdHgF6 PBE-GGA optimized geometry; values from VASP
! **Formation energy (no corrections)**: -177.72 kJ/mol of atoms
! **Symmetry**: No. 74
! **Total magnetic moment**: 1.0 μB/f.u.
! **V**: 373.5 Å³/cell
&SYSTEM
  ibrav = 0, nat = 18, ntyp = 4
/
ATOMIC_SPECIES
Rb 85.47 Rb.upf
Cd 112.41 Cd.upf
Hg 200.59 Hg.upf
F 19.00 F.upf
ATOMIC_POSITIONS crystal
Rb 0.3369 0.0869 0.2500
Rb 0.6631 0.9131 0.7500
Cd 0.0000 0.0000 0.5000
Cd 0.0000 0.5000 0.0000
Hg 0.0000 0.5000 0.5000
Hg 0.5000 0.5000 0.0000
F 0.0739 0.4108 0.2420
F 0.0739 0.8319 0.6631
F 0.0834 0.8334 0.2500
F 0.3246 0.5746 0.7500
F 0.3312 0.1681 0.7420
F 0.3312 0.5892 0.1631
F 0.6688 0.4108 0.8369
F 0.6688 0.8319 0.2580
F 0.6754 0.4254 0.2500
F 0.9166 0.1666 0.7500
F 0.9261 0.1681 0.3369
F 0.9261 0.5892 0.7580
CELL_PARAMETERS angstrom
-3.9444 4.1488 5.7053
3.9444 -4.1488 5.7053
3.9444 4.1488 -5.7053

***

No. 2
! Rb3CdHg2F9 PBE-GGA optimized geometry; values from VASP
! **Formation energy (no corrections)**: -206.31 kJ/mol of atoms
! **Symmetry**: No. 164
! **Total magnetic moment**: 0.0 μB/f.u.
! **V**: 288.5 Å³/cell
&SYSTEM
  ibrav = 0, nat = 15, ntyp = 4
/
ATOMIC_SPECIES
Rb 85.47 Rb.upf
Cd 112.41 Cd.upf
Hg 200.59 Hg.upf
F 19.00 F.upf
ATOMIC_POSITIONS crystal
Rb 0.0000 0.0000 0.0000
Rb 0.3333 0.6667 0.6701
Rb 0.6667 0.3333 0.3299
Cd 0.0000 0.0000 0.5000
Hg 0.3333 0.6667 0.1719
Hg 0.6667 0.3333 0.8281
F 0.0000 0.5000 0.0000
F 0.1634 0.3269 0.3374
F 0.1634 0.8366 0.3374
F 0.3269 0.1634 0.6626
F 0.5000 0.0000 0.0000
F 0.5000 0.5000 0.0000
F 0.6731 0.8366 0.3374
F 0.8366 0.1634 0.6626
F 0.8366 0.6731 0.6626
CELL_PARAMETERS angstrom
6.4767 0.0000 0.0000
-3.2383 5.6090 0.0000
0.0000 0.0000 7.9421

***

No. 3
! CdHgSbF2 PBE-GGA optimized geometry; values from VASP
! **Formation energy (no corrections)**: -108.97 kJ/mol of atoms
! **Symmetry**: No. 123
! **Total magnetic moment**: 0.0 μB/f.u.
! **V**: 117.4 Å³/cell
&SYSTEM
  ibrav = 0, nat = 5, ntyp = 4
/
ATOMIC_SPECIES
Cd 112.41 Cd.upf
Hg 200.59 Hg.upf
Sb 121.76 Sb.upf
F 19.00 F.upf
ATOMIC_POSITIONS crystal
Cd 0.0000 0.0000 0.0000
Hg 0.5000 0.5000 0.0000
Sb 0.0000 0.0000 0.5000
F 0.0000 0.5000 0.5000
F 0.5000 0.0000 0.5000
CELL_PARAMETERS angstrom
4.4074 0.0000 0.0000
0.0000 4.4074 0.0000
0.0000 0.0000 6.0459

***

No. 4
! ScCdHgF6 PBE-GGA optimized geometry; values from VASP
! **Formation energy (no corrections)**: -251.06 kJ/mol of atoms
! **Symmetry**: No. 163
! **Total magnetic moment**: 0.0 μB/f.u.
! **V**: 288.6 Å³/cell
&SYSTEM
  ibrav = 0, nat = 18, ntyp = 4
/
ATOMIC_SPECIES
Sc 44.96 Sc.upf
Cd 112.41 Cd.upf
Hg 200.59 Hg.upf
F 19.00 F.upf
ATOMIC_POSITIONS crystal
Sc 0.3333 0.6667 0.2500
Sc 0.6667 0.3333 0.7500
Cd 0.0000 0.0000 0.0000
Cd 0.0000 0.0000 0.5000
Hg 0.3333 0.6667 0.7500
Hg 0.6667 0.3333 0.2500
F 0.0781 0.3630 0.1251
F 0.0781 0.7151 0.3749
F 0.2849 0.3630 0.3749
F 0.2849 0.9219 0.1251
F 0.3630 0.0781 0.6251
F 0.3630 0.2849 0.8749
F 0.6370 0.7151 0.1251
F 0.6370 0.9219 0.3749
F 0.7151 0.0781 0.8749
F 0.7151 0.6370 0.6251
F 0.9219 0.2849 0.6251
F 0.9219 0.6370 0.8749
CELL_PARAMETERS angstrom
5.9198 0.0000 0.0000
-2.9599 5.1267 0.0000
0.0000 0.0000 9.5092

***

No. 5
! CdSnHg2F PBE-GGA optimized geometry; values from VASP
! **Formation energy (no corrections)**: -50.68 kJ/mol of atoms
! **Symmetry**: No. 123
! **Total magnetic moment**: 0.0 μB/f.u.
! **V**: 147.3 Å³/cell
&SYSTEM
  ibrav = 0, nat = 5, ntyp = 4
/
ATOMIC_SPECIES
Cd 112.41 Cd.upf
Sn 118.71 Sn.upf
Hg 200.59 Hg.upf
F 19.00 F.upf
ATOMIC_POSITIONS crystal
Cd 0.0000 0.0000 0.0000
Sn 0.5000 0.5000 0.5000
Hg 0.0000 0.5000 0.5000
Hg 0.5000 0.0000 0.5000
F 0.5000 0.5000 0.0000
CELL_PARAMETERS angstrom
5.7341 0.0000 0.0000
0.0000 5.7341 0.0000
0.0000 0.0000 4.4795

***

No. 6
! Cd2SnHgF PBE-GGA optimized geometry; values from VASP
! **Formation energy (no corrections)**: -47.74 kJ/mol of atoms
! **Symmetry**: No. 123
! **Total magnetic moment**: 0.0 μB/f.u.
! **V**: 149.3 Å³/cell
&SYSTEM
  ibrav = 0, nat = 5, ntyp = 4
/
ATOMIC_SPECIES
Cd 112.41 Cd.upf
Sn 118.71 Sn.upf
Hg 200.59 Hg.upf
F 19.00 F.upf
ATOMIC_POSITIONS crystal
Cd 0.0000 0.5000 0.0000
Cd 0.5000 0.0000 0.0000
Sn 0.0000 0.0000 0.0000
Hg 0.5000 0.5000 0.5000
F 0.0000 0.0000 0.5000
CELL_PARAMETERS angstrom
5.7540 0.0000 0.0000
0.0000 5.7540 0.0000
0.0000 0.0000 4.5100

***

No. 7
! SrCdHgF6 PBE-GGA optimized geometry; values from VASP
! **Formation energy (no corrections)**: -240.54 kJ/mol of atoms
! **Symmetry**: No. 163
! **Total magnetic moment**: 0.0 μB/f.u.
! **V**: 320.2 Å³/cell
&SYSTEM
  ibrav = 0, nat = 18, ntyp = 4
/
ATOMIC_SPECIES
Sr 87.62 Sr.upf
Cd 112.41 Cd.upf
Hg 200.59 Hg.upf
F 19.00 F.upf
ATOMIC_POSITIONS crystal
Sr 0.0000 0.0000 0.0000
Sr 0.0000 0.0000 0.5000
Cd 0.3333 0.6667 0.2500
Cd 0.6667 0.3333 0.7500
Hg 0.3333 0.6667 0.7500
Hg 0.6667 0.3333 0.2500
F 0.0101 0.3449 0.1345
F 0.0101 0.6652 0.3655
F 0.3348 0.3449 0.3655
F 0.3348 0.9899 0.1345
F 0.3449 0.0101 0.6345
F 0.3449 0.3348 0.8655
F 0.6551 0.6652 0.1345
F 0.6551 0.9899 0.3655
F 0.6652 0.0101 0.8655
F 0.6652 0.6551 0.6345
F 0.9899 0.3348 0.6345
F 0.9899 0.6551 0.8655
CELL_PARAMETERS angstrom
6.0153 0.0000 0.0000
-3.0077 5.2094 0.0000
0.0000 0.0000 10.2181

***

No. 8
! SrCd2HgF8 PBE-GGA optimized geometry; values from VASP
! **Formation energy (no corrections)**: -234.82 kJ/mol of atoms
! **Symmetry**: No. 47
! **Total magnetic moment**: 0.0 μB/f.u.
! **V**: 177.8 Å³/cell
&SYSTEM
  ibrav = 0, nat = 12, ntyp = 4
/
ATOMIC_SPECIES
Sr 87.62 Sr.upf
Cd 112.41 Cd.upf
Hg 200.59 Hg.upf
F 19.00 F.upf
ATOMIC_POSITIONS crystal
Sr 0.0000 0.0000 0.0000
Cd 0.5000 0.5000 0.2542
Cd 0.5000 0.5000 0.7458
Hg 0.0000 0.0000 0.5000
F 0.0000 0.2608 0.2552
F 0.0000 0.2608 0.7448
F 0.0000 0.7392 0.2552
F 0.0000 0.7392 0.7448
F 0.5000 0.2557 0.5000
F 0.5000 0.2634 0.0000
F 0.5000 0.7366 0.0000
F 0.5000 0.7443 0.5000
CELL_PARAMETERS angstrom
3.9845 0.0000 0.0000
0.0000 5.6429 0.0000
0.0000 0.0000 7.9057

***

No. 9
! CdTcHg2F PBE-GGA optimized geometry; values from VASP
! **Formation energy (no corrections)**: 68.82 kJ/mol of atoms
! **Symmetry**: No. 123
! **Total magnetic moment**: 4.6 μB/f.u.
! **V**: 163.2 Å³/cell
&SYSTEM
  ibrav = 0, nat = 5, ntyp = 4
/
ATOMIC_SPECIES
Cd 112.41 Cd.upf
Tc 98.00 Tc.upf
Hg 200.59 Hg.upf
F 19.00 F.upf
ATOMIC_POSITIONS crystal
Cd 0.0000 0.0000 0.0000
Tc 0.0000 0.0000 0.5000
Hg 0.0000 0.5000 0.0000
Hg 0.5000 0.0000 0.0000
F 0.5000 0.5000 0.5000
CELL_PARAMETERS angstrom
5.4599 0.0000 0.0000
0.0000 5.4599 0.0000
0.0000 0.0000 5.4749

***

No. 10
! TlCdHg2F8 PBE-GGA optimized geometry; values from VASP
! **Formation energy (no corrections)**: -164.45 kJ/mol of atoms
! **Symmetry**: No. 47
! **Total magnetic moment**: 0.0 μB/f.u.
! **V**: 180.0 Å³/cell
&SYSTEM
  ibrav = 0, nat = 12, ntyp = 4
/
ATOMIC_SPECIES
Tl 204.38 Tl.upf
Cd 112.41 Cd.upf
Hg 200.59 Hg.upf
F 19.00 F.upf
ATOMIC_POSITIONS crystal
Tl 0.0000 0.0000 0.0000
Cd 0.0000 0.0000 0.5000
Hg 0.5000 0.5000 0.2569
Hg 0.5000 0.5000 0.7431
F 0.0000 0.2463 0.2567
F 0.0000 0.2463 0.7433
F 0.0000 0.7537 0.2567
F 0.0000 0.7537 0.7433
F 0.5000 0.2392 0.5000
F 0.5000 0.2475 0.0000
F 0.5000 0.7525 0.0000
F 0.5000 0.7608 0.5000
CELL_PARAMETERS angstrom
3.9942 0.0000 0.0000
0.0000 5.6408 0.0000
0.0000 0.0000 7.9906

***

No. 11
! Tl3Cd2HgF9 PBE-GGA optimized geometry; values from VASP
! **Formation energy (no corrections)**: -181.08 kJ/mol of atoms
! **Symmetry**: No. 164
! **Total magnetic moment**: 0.0 μB/f.u.
! **V**: 279.4 Å³/cell
&SYSTEM
  ibrav = 0, nat = 15, ntyp = 4
/
ATOMIC_SPECIES
Tl 204.38 Tl.upf
Cd 112.41 Cd.upf
Hg 200.59 Hg.upf
F 19.00 F.upf
ATOMIC_POSITIONS crystal
Tl 0.0000 0.0000 0.0000
Tl 0.3333 0.6667 0.6524
Tl 0.6667 0.3333 0.3476
Cd 0.3333 0.6667 0.1597
Cd 0.6667 0.3333 0.8403
Hg 0.0000 0.0000 0.5000
F 0.0000 0.5000 0.0000
F 0.1713 0.3427 0.3319
F 0.1713 0.8287 0.3319
F 0.3427 0.1713 0.6681
F 0.5000 0.0000 0.0000
F 0.5000 0.5000 0.0000
F 0.6573 0.8287 0.3319
F 0.8287 0.1713 0.6681
F 0.8287 0.6573 0.6681
CELL_PARAMETERS angstrom
6.4129 0.0000 0.0000
-3.2065 5.5537 0.0000
0.0000 0.0000 7.8460

***

No. 12
! Tl2CdHgF PBE-GGA optimized geometry; values from VASP
! **Formation energy (no corrections)**: -50.37 kJ/mol of atoms
! **Symmetry**: No. 123
! **Total magnetic moment**: 0.0 μB/f.u.
! **V**: 144.9 Å³/cell
&SYSTEM
  ibrav = 0, nat = 5, ntyp = 4
/
ATOMIC_SPECIES
Tl 204.38 Tl.upf
Cd 112.41 Cd.upf
Hg 200.59 Hg.upf
F 19.00 F.upf
ATOMIC_POSITIONS crystal
Tl 0.0000 0.5000 0.0000
Tl 0.5000 0.0000 0.0000
Cd 0.0000 0.0000 0.5000
Hg 0.5000 0.5000 0.5000
F 0.0000 0.0000 0.0000
CELL_PARAMETERS angstrom
5.3000 0.0000 0.0000
0.0000 5.3000 0.0000
0.0000 0.0000 5.1579

***

No. 13
! TlCd2HgF8 PBE-GGA optimized geometry; values from VASP
! **Formation energy (no corrections)**: -181.99 kJ/mol of atoms
! **Symmetry**: No. 47
! **Total magnetic moment**: 0.0 μB/f.u.
! **V**: 176.5 Å³/cell
&SYSTEM
  ibrav = 0, nat = 12, ntyp = 4
/
ATOMIC_SPECIES
Tl 204.38 Tl.upf
Cd 112.41 Cd.upf
Hg 200.59 Hg.upf
F 19.00 F.upf
ATOMIC_POSITIONS crystal
Tl 0.0000 0.0000 0.0000
Cd 0.5000 0.5000 0.2542
Cd 0.5000 0.5000 0.7458
Hg 0.0000 0.0000 0.5000
F 0.0000 0.2592 0.2519
F 0.0000 0.2592 0.7481
F 0.0000 0.7408 0.2519
F 0.0000 0.7408 0.7481
F 0.5000 0.2575 0.0000
F 0.5000 0.2576 0.5000
F 0.5000 0.7424 0.5000
F 0.5000 0.7425 0.0000
CELL_PARAMETERS angstrom
3.9626 0.0000 0.0000
0.0000 5.6128 0.0000
0.0000 0.0000 7.9366

***

No. 14
! ZnCdHgF4 PBE-GGA optimized geometry; values from VASP
! **Formation energy (no corrections)**: -176.83 kJ/mol of atoms
! **Symmetry**: No. 12
! **Total magnetic moment**: 0.0 μB/f.u.
! **V**: 242.9 Å³/cell
&SYSTEM
  ibrav = 0, nat = 14, ntyp = 4
/
ATOMIC_SPECIES
Zn 65.41 Zn.upf
Cd 112.41 Cd.upf
Hg 200.59 Hg.upf
F 19.00 F.upf
ATOMIC_POSITIONS crystal
Zn 0.1174 0.1174 0.3560
Zn 0.8826 0.8826 0.6440
Cd 0.2456 0.2456 0.8896
Cd 0.7544 0.7544 0.1104
Hg 0.4506 0.4506 0.2527
Hg 0.5494 0.5494 0.7473
F 0.0342 0.6391 0.8622
F 0.0566 0.0566 0.6885
F 0.2661 0.2661 0.5396
F 0.3609 0.9658 0.1378
F 0.6391 0.0342 0.8622
F 0.7339 0.7339 0.4604
F 0.9434 0.9434 0.3115
F 0.9658 0.3609 0.1378
CELL_PARAMETERS angstrom
5.6746 -3.4588 0.0000
5.6746 3.4588 0.0000
-0.6487 0.0000 6.1886

***

No. 15
! ZnCdHgF6 PBE-GGA optimized geometry; values from VASP
! **Formation energy (no corrections)**: -188.35 kJ/mol of atoms
! **Symmetry**: No. 163
! **Total magnetic moment**: 0.0 μB/f.u.
! **V**: 266.2 Å³/cell
&SYSTEM
  ibrav = 0, nat = 18, ntyp = 4
/
ATOMIC_SPECIES
Zn 65.41 Zn.upf
Cd 112.41 Cd.upf
Hg 200.59 Hg.upf
F 19.00 F.upf
ATOMIC_POSITIONS crystal
Zn 0.3333 0.6667 0.2500
Zn 0.6667 0.3333 0.7500
Cd 0.0000 0.0000 0.0000
Cd 0.0000 0.0000 0.5000
Hg 0.3333 0.6667 0.7500
Hg 0.6667 0.3333 0.2500
F 0.0367 0.3555 0.1302
F 0.0367 0.6813 0.3698
F 0.3187 0.3555 0.3698
F 0.3187 0.9633 0.1302
F 0.3555 0.0367 0.6302
F 0.3555 0.3187 0.8698
F 0.6445 0.6813 0.1302
F 0.6445 0.9633 0.3698
F 0.6813 0.0367 0.8698
F 0.6813 0.6445 0.6302
F 0.9633 0.3187 0.6302
F 0.9633 0.6445 0.8698
CELL_PARAMETERS angstrom
5.7083 0.0000 0.0000
-2.8541 4.9435 0.0000
0.0000 0.0000 9.4326

***

No. 16
! HoCdF6 PBE-GGA optimized geometry; values from VASP
! **Formation energy (no corrections)**: -264.45 kJ/mol of atoms
! **Symmetry**: No. 38
! **Total magnetic moment**: 1.0 μB/f.u.
! **V**: 122.1 Å³/cell
&SYSTEM
  ibrav = 0, nat = 8, ntyp = 3
/
ATOMIC_SPECIES
Ho 164.93 Ho.upf
Cd 112.41 Cd.upf
F 19.00 F.upf
ATOMIC_POSITIONS crystal
Ho 0.0000 0.0000 0.0000
Cd 0.5000 0.5233 0.5233
F 0.0000 0.2370 0.6184
F 0.0000 0.6184 0.2370
F 0.0000 0.6614 0.6614
F 0.5000 0.2713 0.9314
F 0.5000 0.8655 0.8655
F 0.5000 0.9314 0.2713
CELL_PARAMETERS angstrom
3.4441 0.0000 0.0000
0.0000 3.4765 5.0985
0.0000 -3.4765 5.0985

***

No. 17
! HoCd3F8 PBE-GGA optimized geometry; values from VASP
! **Formation energy (no corrections)**: -258.39 kJ/mol of atoms
! **Symmetry**: No. 221
! **Total magnetic moment**: 0.0 μB/f.u.
! **V**: 172.9 Å³/cell
&SYSTEM
  ibrav = 0, nat = 12, ntyp = 3
/
ATOMIC_SPECIES
Ho 164.93 Ho.upf
Cd 112.41 Cd.upf
F 19.00 F.upf
ATOMIC_POSITIONS crystal
Ho 0.0000 0.0000 0.0000
Cd 0.0000 0.5000 0.5000
Cd 0.5000 0.0000 0.5000
Cd 0.5000 0.5000 0.0000
F 0.2394 0.2394 0.2394
F 0.2394 0.2394 0.7606
F 0.2394 0.7606 0.2394
F 0.2394 0.7606 0.7606
F 0.7606 0.2394 0.2394
F 0.7606 0.2394 0.7606
F 0.7606 0.7606 0.2394
F 0.7606 0.7606 0.7606
CELL_PARAMETERS angstrom
5.5714 0.0000 0.0000
0.0000 5.5714 0.0000
0.0000 0.0000 5.5714

***

No. 18
! HoCdF4 PBE-GGA optimized geometry; values from VASP
! **Formation energy (no corrections)**: -297.69 kJ/mol of atoms
! **Symmetry**: No. 109
! **Total magnetic moment**: 0.0 μB/f.u.
! **V**: 222.5 Å³/cell
&SYSTEM
  ibrav = 0, nat = 12, ntyp = 3
/
ATOMIC_SPECIES
Ho 164.93 Ho.upf
Cd 112.41 Cd.upf
F 19.00 F.upf
ATOMIC_POSITIONS crystal
Ho 0.0000 0.0000 0.0000
Ho 0.7500 0.2500 0.5000
Cd 0.2763 0.7763 0.5000
Cd 0.5263 0.5263 0.0000
F 0.4107 0.2008 0.2099
F 0.5399 0.2269 0.6869
F 0.5399 0.8530 0.3131
F 0.6030 0.7899 0.8131
F 0.9508 0.2409 0.2901
F 0.9508 0.6607 0.7099
F 0.9769 0.7899 0.1869
F 0.9909 0.2008 0.7901
CELL_PARAMETERS angstrom
-3.7835 3.7835 3.8853
3.7835 -3.7835 3.8853
3.7835 3.7835 -3.8853

***

No. 19
! HoCdF5 PBE-GGA optimized geometry; values from VASP
! **Formation energy (no corrections)**: -315.80 kJ/mol of atoms
! **Symmetry**: No. 15
! **Total magnetic moment**: 0.0 μB/f.u.
! **V**: 240.1 Å³/cell
&SYSTEM
  ibrav = 0, nat = 14, ntyp = 3
/
ATOMIC_SPECIES
Ho 164.93 Ho.upf
Cd 112.41 Cd.upf
F 19.00 F.upf
ATOMIC_POSITIONS crystal
Ho 0.0439 0.9561 0.7500
Ho 0.9561 0.0439 0.2500
Cd 0.5000 0.5000 0.0000
Cd 0.5000 0.5000 0.5000
F 0.1654 0.8201 0.0401
F 0.1799 0.8346 0.4599
F 0.2178 0.2765 0.3658
F 0.2765 0.2178 0.8658
F 0.3532 0.6468 0.7500
F 0.6468 0.3532 0.2500
F 0.7235 0.7822 0.1342
F 0.7822 0.7235 0.6342
F 0.8201 0.1654 0.5401
F 0.8346 0.1799 0.9599
CELL_PARAMETERS angstrom
4.6984 -3.5916 0.0000
4.6984 3.5916 0.0000
-3.0648 0.0000 7.1126

***

No. 20
! HoCdF PBE-GGA optimized geometry; values from VASP
! **Formation energy (no corrections)**: -150.02 kJ/mol of atoms
! **Symmetry**: No. 38
! **Total magnetic moment**: 0.5 μB/f.u.
! **V**: 148.0 Å³/cell
&SYSTEM
  ibrav = 0, nat = 6, ntyp = 3
/
ATOMIC_SPECIES
Ho 164.93 Ho.upf
Cd 112.41 Cd.upf
F 19.00 F.upf
ATOMIC_POSITIONS crystal
Ho 0.1772 0.0000 0.0000
Ho 0.8228 0.0000 0.0000
Cd 0.0000 0.3331 0.3331
Cd 0.5000 0.3198 0.3198
F 0.2667 0.3333 0.3333
F 0.7333 0.3333 0.3333
CELL_PARAMETERS angstrom
14.3259 0.0000 0.0000
0.0000 1.7265 2.9909
0.0000 -1.7265 2.9909

***

No. 21
! Ho2CdF8 PBE-GGA optimized geometry; values from VASP
! **Formation energy (no corrections)**: -346.41 kJ/mol of atoms
! **Symmetry**: No. 12
! **Total magnetic moment**: 0.0 μB/f.u.
! **V**: 139.0 Å³/cell
&SYSTEM
  ibrav = 0, nat = 11, ntyp = 3
/
ATOMIC_SPECIES
Ho 164.93 Ho.upf
Cd 112.41 Cd.upf
F 19.00 F.upf
ATOMIC_POSITIONS crystal
Ho 0.1784 0.1784 0.1885
Ho 0.8216 0.8216 0.8115
Cd 0.5000 0.5000 0.5000
F 0.0456 0.0456 0.3138
F 0.2177 0.2177 0.8297
F 0.3178 0.3178 0.5364
F 0.4014 0.4014 0.0467
F 0.5986 0.5986 0.9533
F 0.6822 0.6822 0.4636
F 0.7823 0.7823 0.1703
F 0.9544 0.9544 0.6862
CELL_PARAMETERS angstrom
7.3948 -1.8146 0.0000
7.3948 1.8146 0.0000
-1.7796 0.0000 5.1806